Entry 1:
Material: KSc3Be
Method: DFT, PBE
State: relaxed

abc: 4.8504 4.8504 4.8504
angles: 90.00 90.00 90.00
Element x y z (fractional)
1 Sc 0.0000 0.5000 0.0000
2 Sc 0.0000 0.0000 0.5000
3 Sc 0.5000 0.0000 0.0000
4 Be 0.5000 0.5000 0.5000
5 K 0.0000 0.0000 0.0000

crystal system: cubic
energy: -3.0460 eV per atom
total magnetic moment: 0.000 μB per cell
space group: No. 221
formation energy: 1.718 eV/atom
DOS at the Fermi energy: 5.5 states/eV per cell
energy relative to the lowest polymorph listed for this composition: 1187 meV per atom



Entry 2:
Material: Sc2TlCl
Method: DFT, PBE
State: relaxed

abc: 9.6745 9.6745 9.6745
angles: 21.06 21.06 21.06
Each line ends with the local moment (μB).
Element x y z (fractional)
1 Sc 0.9140 0.9140 0.9140  0.12
2 Sc 0.0860 0.0860 0.0860  0.12
3 Tl 0.5000 0.5000 0.5000  0.00
4 Cl 0.0000 0.0000 0.0000  -0.01

crystal system: trigonal
energy: -4.7755 eV per atom
total magnetic moment: 0.429 μB per cell
raw formation energy: -0.5565 eV/atom
space group: No. 166
DOS at the Fermi energy: 4.3 states/eV per cell
energy relative to the lowest polymorph listed for this composition: 134 meV per atom



Entry 3:
Material: Pr6Hg2Ir
Method: DFT, PBE
State: relaxed

abc: 7.2120 7.6289 10.8189
angles: 90.00 92.56 90.00
Element x y z (fractional)
1 Pr 0.8774 0.9862 0.2465
2 Pr 0.8120 0.6853 0.5551
3 Pr 0.8140 0.6992 0.9474
4 Pr 0.6860 0.1992 0.5526
5 Pr 0.6880 0.1853 0.9449
6 Pr 0.6226 0.4862 0.2535
7 Pr 0.1226 0.0138 0.7535
8 Pr 0.1880 0.3147 0.4449
9 Pr 0.1860 0.3008 0.0526
10 Pr 0.3140 0.8008 0.4474
11 Pr 0.3120 0.8147 0.0551
12 Pr 0.3774 0.5138 0.7465
13 Hg 0.9535 0.4069 0.7617
14 Hg 0.5465 0.9069 0.7383
15 Hg 0.4535 0.0931 0.2617
16 Hg 0.0465 0.5931 0.2383
17 Ir 0.5000 0.5000 0.0000
18 Ir 0.0000 0.0000 0.5000

crystal system: monoclinic
energy: -4.5608 eV per atom
total magnetic moment: 0.000 μB per cell
space group: No. 14
formation energy: -0.323 eV/atom
DOS at the Fermi energy: 18.7 states/eV per cell
energy relative to the lowest polymorph listed for this composition: 0 meV per atom



Entry 4:
Material: Dy6ZnAg2
Method: DFT, PBE
State: relaxed

abc: 8.5700 8.5700 8.5700
angles: 109.08 111.56 107.80
Element x y z (fractional)
1 Dy 0.5620 0.7368 0.8252
2 Dy 0.4380 0.2632 0.1748
3 Dy 0.0884 0.2632 0.8252
4 Dy 0.9116 0.7368 0.1748
5 Dy 0.8058 0.7486 0.5544
6 Dy 0.1942 0.2514 0.4456
7 Dy 0.1942 0.7486 0.9428
8 Dy 0.8058 0.2514 0.0572
9 Dy 0.7249 0.3977 0.6728
10 Dy 0.2751 0.6023 0.3272
11 Dy 0.2751 0.9479 0.6728
12 Dy 0.7249 0.0521 0.3272
13 Zn 0.0000 0.5000 0.5000
14 Zn 0.0000 0.0000 0.0000
15 Ag 0.5000 0.3633 0.8633
16 Ag 0.5000 0.6367 0.1367
17 Ag 0.6471 0.0000 0.6471
18 Ag 0.3529 0.0000 0.3529

crystal system: orthorhombic
energy: -4.0091 eV per atom
total magnetic moment: 0.000 μB per cell
space group: No. 71
formation energy: -0.166 eV/atom
DOS at the Fermi energy: 18.1 states/eV per cell



Entry 5:
Material: InGaPd2
Method: DFT, PBE
State: relaxed

abc: 4.0618 6.2616 5.7784
angles: 90.00 90.00 90.00
Element x y z (fractional)
1 In 0.5000 0.9133 0.0000
2 In 0.0000 0.0867 0.5000
3 Ga 0.5000 0.6446 0.5000
4 Ga 0.0000 0.3554 0.0000
5 Pd 0.0000 0.6981 0.7531
6 Pd 0.5000 0.3019 0.7469
7 Pd 0.0000 0.6981 0.2469
8 Pd 0.5000 0.3019 0.2531

crystal system: orthorhombic
energy: -4.5384 eV per atom
total magnetic moment: 0.000 μB per cell
space group: No. 59
formation energy: -0.501 eV/atom
DOS at the Fermi energy: 3.4 states/eV per cell



Entry 6:
Material: NdTm2CdPd4
Method: DFT, PBE
State: relaxed

abc: 4.8857 4.8857 8.4940
angles: 73.29 73.29 60.00
Element x y z (fractional)
1 Nd 0.0000 0.0000 0.0000
2 Tm 0.7578 0.7578 0.7266
3 Tm 0.2422 0.2422 0.2734
4 Cd 0.5000 0.5000 0.5000
5 Pd 0.3792 0.3792 0.8623
6 Pd 0.8771 0.8771 0.3686
7 Pd 0.1229 0.1229 0.6314
8 Pd 0.6208 0.6208 0.1377

crystal system: trigonal
energy: -5.1986 eV per atom
total magnetic moment: 0.000 μB per cell
space group: No. 166
formation energy: -0.774 eV/atom
DOS at the Fermi energy: 5.1 states/eV per cell



Entry 7:
Material: AgBi2Pd7Au2
Method: DFT, PBE
State: relaxed

abc: 3.8468 3.8468 15.5347
angles: 82.80 82.80 90.00
Element x y z (fractional)
1 Ag 0.0000 0.0000 0.0000
2 Bi 0.8157 0.8157 0.3662
3 Bi 0.1843 0.1843 0.6338
4 Pd 0.5000 0.5000 0.0000
5 Pd 0.2725 0.2725 0.4550
6 Pd 0.7275 0.7275 0.5450
7 Pd 0.9302 0.4303 0.1375
8 Pd 0.4303 0.9302 0.1375
9 Pd 0.5697 0.0698 0.8625
10 Pd 0.0698 0.5697 0.8625
11 Au 0.6368 0.6368 0.7302
12 Au 0.3632 0.3632 0.2698

crystal system: monoclinic
energy: -4.4940 eV per atom
total magnetic moment: 0.000 μB per cell
space group: No. 12
formation energy: -0.034 eV/atom
DOS at the Fermi energy: 9.8 states/eV per cell



Entry 8:
Material: AcErAgIr
Method: DFT, PBE
State: relaxed

abc: 5.1828 5.1828 5.1828
angles: 60.00 60.00 60.00
Element x y z (fractional)
1 Ac 0.5000 0.5000 0.5000
2 Ir 0.7500 0.7500 0.7500
3 Ag 0.2500 0.2500 0.2500
4 Er 0.0000 0.0000 0.0000

crystal system: cubic
energy: -5.5044 eV per atom
total magnetic moment: 0.000 μB per cell
space group: No. 216
formation energy: -0.409 eV/atom
DOS at the Fermi energy: 3.1 states/eV per cell



Entry 9:
Material: Pm2ScGa3Rh4
Method: DFT, PBE
State: relaxed

abc: 4.2362 4.2362 10.7148
angles: 90.00 90.00 90.00
Element x y z (fractional)
1 Pm 0.5000 0.0000 0.2280
2 Pm 0.0000 0.5000 0.7720
3 Sc 0.5000 0.5000 0.5000
4 Ga 0.0000 0.0000 0.5000
5 Ga 0.5000 0.0000 0.8787
6 Ga 0.0000 0.5000 0.1213
7 Rh 0.5000 0.5000 0.0000
8 Rh 0.0000 0.0000 0.0000
9 Rh 0.5000 0.0000 0.6448
10 Rh 0.0000 0.5000 0.3552

crystal system: tetragonal
energy: -6.2577 eV per atom
total magnetic moment: 0.000 μB per cell
space group: No. 115
formation energy: -0.826 eV/atom
DOS at the Fermi energy: 5.9 states/eV per cell



> What is the DOS at the Fermi energy in the first record?

5.5 states/eV per cell



> DOS at the Fermi energy of number 2 (Sc2TlCl)?

4.3 states/eV per cell



> What is the formula in the seventh record?

AgBi2Pd7Au2